1.
Computed, not measured: an optimized crystal structure of Cs2AlBr7 at the GGA-PBE level of DFT.

abc: 8.471 8.471 8.106
angles: 58.50 58.50 90.00
Fractional positions:
Cs1 0.750 0.250 0.500
Cs2 0.250 0.750 0.500
Al1 0.500 0.500 0.000
Br1 0.000 0.000 0.000
Br2 0.235 0.235 0.531
Br3 0.765 0.765 0.469
Br4 0.297 0.297 0.000
Br5 0.703 0.703 0.000
Br6 0.703 0.297 0.000
Br7 0.297 0.703 0.000

Calculated values
M_tot: 0.0 μB per cell
Space-group type: I4/mmm, No. 139
Raw formation energy: -1.1171 eV/atom
DFT total energy: -28.33 eV for the cell shown

2.
Computed, not measured: an optimized crystal structure of ZnCrGa2 at the GGA-PBE level of DFT.

abc: 3.306 3.306 5.401
angles: 90.00 90.00 90.00
Fractional positions:
Cr1 0.500 0.500 0.000
Zn1 0.500 0.500 0.500
Ga1 0.000 0.000 0.761
Ga2 0.000 0.000 0.239

Calculated values
M_tot: 1.6 μB per cell
Space-group type: P4/mmm, No. 123
DFT total energy: -16.56 eV for the cell shown

3.
Computed, not measured: an optimized crystal structure of Rb2Cd2Br7 at the GGA-PBE level of DFT.

abc: 6.752 8.412 8.412
angles: 94.03 94.91 94.91
Fractional positions:
Rb1 0.000 0.262 0.738
Rb2 0.000 0.738 0.262
Cd1 0.480 0.236 0.236
Cd2 0.520 0.764 0.764
Br1 0.719 0.912 0.554
Br2 0.281 0.446 0.088
Br3 0.281 0.088 0.446
Br4 0.719 0.554 0.912
Br5 0.500 0.000 0.000
Br6 0.158 0.659 0.659
Br7 0.842 0.341 0.341

Calculated values
M_tot: 1.1 μB per cell
Space-group type: C2/m, No. 12
Raw formation energy: -1.0187 eV/atom
DFT total energy: -26.68 eV for the cell shown

4.
Computed, not measured: an optimized crystal structure of SmPuPN at the GGA-PBE level of DFT.

abc: 3.752 3.752 6.628
angles: 73.56 73.56 60.00
Fractional positions:
Sm1 0.509 0.509 0.472
Pu1 0.988 0.988 0.036
P1 0.746 0.746 0.763
N1 0.257 0.257 0.229

Calculated values
M_tot: 4.8 μB per cell
Space-group type: R3m, No. 160
Raw formation energy: -1.2607 eV/atom
DFT total energy: -37.83 eV for the cell shown

5.
Computed, not measured: an optimized crystal structure of HgB2F2 at the GGA-PBE level of DFT.

abc: 5.675 5.675 3.759
angles: 90.00 90.00 90.00
Fractional positions:
B1 0.398 0.898 0.000
B2 0.898 0.602 0.000
B3 0.602 0.102 0.000
B4 0.102 0.398 0.000
Hg1 0.000 0.000 0.000
Hg2 0.500 0.500 0.000
F1 0.152 0.652 0.500
F2 0.652 0.848 0.500
F3 0.848 0.348 0.500
F4 0.348 0.152 0.500

Calculated values
M_tot: 0.0 μB per cell
Energy relative to the lowest polymorph listed for this composition: 0 meV/atom
Space-group type: P4/mbm, No. 127
Raw formation energy: 0.2383 eV/atom
DFT total energy: -32.42 eV for the cell shown

6.
Computed, not measured: an optimized crystal structure of GaBr2Cl at the GGA-PBE level of DFT.

abc: 5.134 5.134 5.134
angles: 60.00 60.00 60.00
Fractional positions:
Ga1 0.500 0.500 0.500
Br1 0.250 0.250 0.250
Br2 0.750 0.750 0.750
Cl1 0.000 0.000 0.000

Calculated values
M_tot: 0.5 μB per cell
Energy relative to the lowest polymorph listed for this composition: 1005 meV/atom
Space-group type: Fm-3m, No. 225
Raw formation energy: 0.0954 eV/atom
DFT total energy: -7.84 eV for the cell shown

7.
Computed, not measured: an optimized crystal structure of Mg2RuAu at the GGA-PBE level of DFT.

abc: 9.014 9.014 9.014
angles: 18.99 18.99 18.99
Fractional positions:
Au1 0.750 0.750 0.750
Mg1 0.996 0.996 0.996
Mg2 0.504 0.504 0.504
Ru1 0.250 0.250 0.250

Calculated values
M_tot: 0.0 μB per cell
Space-group type: R-3m, No. 166
DFT total energy: -16.11 eV for the cell shown

8.
Computed, not measured: an optimized crystal structure of B3OsN at the GGA-PBE level of DFT.

abc: 4.110 4.110 4.110
angles: 90.00 90.00 90.00
Fractional positions:
B1 0.000 0.500 0.000
B2 0.000 0.000 0.500
B3 0.500 0.000 0.000
Os1 0.000 0.000 0.000
N1 0.500 0.500 0.500

Calculated values
M_tot: 2.7 μB per cell
Energy relative to the lowest polymorph listed for this composition: 405 meV/atom
Space-group type: Pm-3m, No. 221
Raw formation energy: 1.8859 eV/atom
DFT total energy: -30.16 eV for the cell shown

9.
Computed, not measured: an optimized crystal structure of OsRhC2F at the GGA-PBE level of DFT.

abc: 3.963 3.850 3.963
angles: 90.00 90.00 90.00
Fractional positions:
Rh1 0.500 0.500 0.500
C1 0.000 0.000 0.500
C2 0.500 0.000 0.000
Os1 0.000 0.500 0.000
F1 0.000 0.000 0.000

Calculated values
M_tot: 0.0 μB per cell
Space-group type: P4/mmm, No. 123
Raw formation energy: 2.7230 eV/atom
DFT total energy: -25.29 eV for the cell shown

10.
Computed, not measured: an optimized crystal structure of RbLi2Re at the GGA-PBE level of DFT.

abc: 5.106 5.106 5.106
angles: 60.00 60.00 60.00
Fractional positions:
Re1 0.500 0.500 0.500
Rb1 0.000 0.000 0.000
Li1 0.250 0.250 0.250
Li2 0.750 0.750 0.750

Calculated values
M_tot: 2.6 μB per cell
Energy relative to the lowest polymorph listed for this composition: 0 meV/atom
Space-group type: Fm-3m, No. 225
DFT total energy: -11.80 eV for the cell shown

11.
Computed, not measured: an optimized crystal structure of PaAuC at the GGA-PBE level of DFT.

abc: 4.003 4.003 7.164
angles: 90.00 90.00 90.00
Fractional positions:
Pa1 0.250 0.750 0.342
Pa2 0.750 0.250 0.658
Au1 0.250 0.750 0.907
Au2 0.750 0.250 0.093
C1 0.750 0.750 0.500
C2 0.250 0.250 0.500

Calculated values
M_tot: 0.0 μB per cell
Energy relative to the lowest polymorph listed for this composition: 0 meV/atom
Space-group type: P4/nmm, No. 129
DFT total energy: -45.92 eV for the cell shown

12.
Computed, not measured: an optimized crystal structure of UGaPtO6 at the GGA-PBE level of DFT.

abc: 5.312 5.312 8.875
angles: 90.00 90.00 120.00
Fractional positions:
U1 0.667 0.333 0.250
U2 0.333 0.667 0.750
Ga1 0.333 0.667 0.250
Ga2 0.667 0.333 0.750
Pt1 0.000 0.000 0.000
Pt2 0.000 0.000 0.500
O1 0.658 0.671 0.128
O2 0.013 0.342 0.128
O3 0.342 0.013 0.628
O4 0.987 0.658 0.872
O5 0.329 0.342 0.372
O6 0.013 0.671 0.372
O7 0.671 0.013 0.872
O8 0.658 0.987 0.372
O9 0.987 0.329 0.628
O10 0.329 0.987 0.128
O11 0.671 0.658 0.628
O12 0.342 0.329 0.872

Calculated values
M_tot: 0.8 μB per cell
Space-group type: P-31c, No. 163
Raw formation energy: -1.7608 eV/atom
DFT total energy: -131.90 eV for the cell shown